(1)
# Li9Al4Au11

A geometry-optimized Li9Al4Au11 structure (PBE-GGA, Alexandria via LeMat-Bulk).

Summary:
energy = -0.24756 Ry/atom
total moment = 0.00 μB/cell

Cell lengths 13.1829, 20.8020, 2.8590 Å; angles 90.00, 90.00, 90.00 degrees
Closest atoms and distances in Å follow each position.
Space group Cmmm (No. 65)
One atom of each set of equivalent atoms:
Li (0.0000, 0.0000, 0.0000) x2  2 Li 2.86, 4 Al 3.03, 8 Au 3.05-3.14
Li (0.1075, 0.2341, 0.0000) x8  8 Au 2.75-2.96, 3 Li 2.83-2.86, 1 Al 2.84
Li (0.1209, 0.4196, 0.0000) x8  6 Au 2.72-2.85, 2 Li 2.86, 1 Al 2.87
Al (0.1641, 0.1023, 0.0000) x8  6 Au 2.62-2.65, 2 Li 2.84-2.87, 2 Al 2.86
Au (0.0000, 0.1297, 0.5000) x4  4 Al 2.65, 2 Au 2.86, 4 Li 2.96
Au (0.0000, 0.3296, 0.5000) x4  8 Li 2.83-2.84, 4 Au 2.86-2.94
Au (0.0000, 0.5000, 0.5000) x2  8 Li 2.72, 2 Au 2.86
Au (0.2123, 0.0000, 0.5000) x4  4 Al 2.64, 2 Au 2.86
Au (0.2225, 0.3202, 0.5000) x8  2 Al 2.62, 6 Li 2.75-2.89, 2 Au 2.86

(2)
# BeCr2Ir

A geometry-optimized BeCr2Ir structure (PBE-GGA, Alexandria via LeMat-Bulk).

Summary:
energy = -0.59571 Ry/atom
total moment = 1.91 μB/cell

Cell lengths 4.0560, 4.0768, 5.7519 Å; angles 90.00, 90.00, 90.00 degrees
Closest atoms and distances in Å follow each position.
Space group Imm2 (No. 44)
One atom of each set of equivalent atoms:
Be (0.0000, 0.0000, 0.0000) x2  4 Ir 2.49-2.50, 4 Cr 2.49
Cr (0.0000, 0.0000, 0.4956) x2  4 Cr 2.47-2.51, 4 Ir 2.48-2.50
Cr (0.0000, 0.5000, 0.7502) x2  4 Cr 2.47-2.51, 4 Be 2.49
Ir (0.0000, 0.5000, 0.2502) x2  4 Cr 2.48-2.50, 4 Be 2.49-2.50

(3)
# YAg3

A geometry-optimized YAg3 structure (PBE-GGA, Alexandria via LeMat-Bulk).

Summary:
energy = -0.26982 Ry/atom
total moment = 0.00 μB/cell

Cell lengths 3.1958, 3.1958, 9.6197 Å; angles 90.00, 90.00, 120.00 degrees
Closest atoms and distances in Å follow each position.
Space group P-6m2 (No. 187)
One atom of each set of equivalent atoms:
Y (0.0000, 0.0000, 0.0000) x1  6 Ag 3.14, 6 Y 3.20
Ag (0.0000, 0.0000, 0.5000) x1  12 Ag 2.93-3.20
Ag (0.6667, 0.3333, 0.2640) x2  9 Ag 2.93-3.20, 3 Y 3.14

(4)
# Si2Os

A geometry-optimized Si2Os structure (PBE-GGA, Alexandria via LeMat-Bulk).

Summary:
uncorrected formation energy = -110 meV/atom
energy = -0.54890 Ry/atom
total moment = 0.00 μB/cell

Cell lengths 8.4569, 2.9440, 7.0534 Å; angles 90.00, 101.47, 90.00 degrees
Closest atoms and distances in Å follow each position.
Space group C2/m (No. 12)
One atom of each set of equivalent atoms:
Si (0.1594, 0.0000, 0.0952) x4  5 Os 2.43-2.52, 2 Si 2.67
Si (0.1631, 0.0000, 0.5843) x4  2 Os 2.50, 3 Si 2.54-2.78
Os (0.0488, 0.5000, 0.8095) x4  7 Si 2.43-2.52

(5)
# NaSr3Li

A geometry-optimized NaSr3Li structure (PBE-GGA, Alexandria via LeMat-Bulk).

Summary:
energy = -0.09356 Ry/atom
total moment = 0.00 μB/cell
distance to the lowest polymorph of the same formula = 0.353 eV per atom

Cell lengths 6.5448, 6.5448, 6.5448 Å; angles 90.00, 90.00, 90.00 degrees
Closest atoms and distances in Å follow each position.
Space group Pm-3m (No. 221)
One atom of each set of equivalent atoms:
Na (0.0000, 0.0000, 0.0000) x1  6 Sr 3.27
Sr (0.0000, 0.0000, 0.5000) x3  2 Na 3.27
Li (0.5000, 0.5000, 0.5000) x1  12 Sr 4.63

(6)
# CaPr2Y5

A geometry-optimized CaPr2Y5 structure (PBE-GGA, Alexandria via LeMat-Bulk).

Summary:
energy = -0.39131 Ry/atom
total moment = 0.00 μB/cell

Cell lengths 16.3023, 10.0149, 6.8192 Å; angles 90.00, 102.33, 90.00 degrees
Closest atoms and distances in Å follow each position.
Space group C2/c (No. 15)
One atom of each set of equivalent atoms:
Ca (0.2500, 0.2500, 0.0000) x4  2 Pr 3.07
Pr (0.0823, 0.2477, 0.1365) x8  1 Ca 3.07, 2 Y 3.28-3.36, 1 Pr 3.37
Y (0.0000, 0.4346, 0.7500) x4  4 Pr 3.28-3.60, 2 Y 3.65
Y (0.0984, 0.0868, 0.6496) x8  3 Pr 3.36-3.75, 1 Ca 3.46, 1 Y 3.75
Y (0.2007, 0.4144, 0.5407) x8  1 Pr 3.44, 2 Ca 3.48, 7 Y 3.76-3.84